Computed, not measured: a relaxed LaIr2Os2 crystal at the PBE level of DFT.

Properties
Energy of formation ... -0.014 eV/atom
E above lowest polymorph ... 0.000 eV per atom

The structure in CIF format:
```
data_LaIr2Os2
_symmetry_space_group_name_H-M 'I 4/m m m'
_symmetry_Int_Tables_number 139
_symmetry_space_group_name_Hall '-I 4 2'
_cell_length_a 4.190
_cell_length_b 4.190
_cell_length_c 10.910
_cell_angle_alpha 90.00
_cell_angle_beta 90.00
_cell_angle_gamma 90.00
loop_
_atom_site_label
_atom_site_fract_x
_atom_site_fract_y
_atom_site_fract_z
La1 0.000 0.000 0.000
Ir1 0.000 0.500 0.250
Os1 0.000 0.000 0.393
```